1.
Tb5Ho2Tm4 | GGA-PBE | relaxed

Output
The calculation puts the total energy at -4.33 eV per atom. Its energy above the most stable polymorph in this dataset is 0.27 kcal/mol of atoms. The calculation puts the formation energy at 0.23 eV per atom.

Lattice parameters (Å, degrees): 7.762 7.762 8.332 69.49 69.49 49.55
Sites, in units of the cell vectors:
Tb1 0.655 0.173 0.879
Tb2 0.173 0.655 0.879
Tb3 0.345 0.827 0.121
Tb4 0.827 0.345 0.121
Tb5 0.000 0.000 0.500
Tm1 0.607 0.607 0.509
Tm2 0.393 0.393 0.491
Tm3 0.746 0.746 0.736
Tm4 0.254 0.254 0.264
Ho1 0.850 0.850 0.262
Ho2 0.150 0.150 0.738


2.
TbHoTm | GGA-PBE | relaxed

Output
The calculation puts the total energy at -4.41 eV per atom. Its energy above the most stable polymorph in this dataset is 2.93 kcal/mol of atoms. The calculation puts the formation energy at 0.15 eV per atom.

Lattice parameters (Å, degrees): 3.452 3.440 15.978 90.00 90.00 90.00
Sites, in units of the cell vectors:
Tm1 0.250 0.750 0.421
Tm2 0.750 0.250 0.579
Tb1 0.750 0.750 0.922
Tb2 0.250 0.250 0.078
Ho1 0.250 0.750 0.733
Ho2 0.750 0.250 0.267


3.
TbHo5Tm7 | GGA-PBE | relaxed

Output
The calculation puts the total energy at -4.26 eV per atom. Its energy above the most stable polymorph in this dataset is 0.00 kcal/mol of atoms. The calculation puts the formation energy at 0.26 eV per atom.

Lattice parameters (Å, degrees): 6.624 8.558 8.558 79.40 67.23 67.23
Sites, in units of the cell vectors:
Tm1 0.518 0.153 0.812
Tm2 0.020 0.311 0.650
Tm3 0.518 0.812 0.153
Tm4 0.272 0.728 0.728
Tm5 0.020 0.650 0.311
Tm6 0.578 0.422 0.422
Tm7 0.269 0.231 0.231
Ho1 0.537 0.459 0.005
Ho2 0.000 0.005 0.459
Ho3 0.768 0.732 0.732
Ho4 0.537 0.005 0.459
Ho5 0.000 0.459 0.005
Tb1 0.965 0.035 0.035


4.
Tb2Ho7Tm2 | GGA-PBE | relaxed

Output
The calculation puts the total energy at -4.40 eV per atom. Its energy above the most stable polymorph in this dataset is 1.25 kcal/mol of atoms. The calculation puts the formation energy at 0.17 eV per atom.

Lattice parameters (Å, degrees): 5.980 11.041 7.933 45.90 105.91 113.19
Sites, in units of the cell vectors:
Ho1 0.415 0.767 0.000
Ho2 0.000 0.000 0.000
Ho3 0.585 0.233 0.000
Ho4 0.174 0.410 0.528
Ho5 0.174 0.938 0.472
Ho6 0.826 0.062 0.528
Ho7 0.826 0.590 0.472
Tm1 0.196 0.410 0.000
Tm2 0.804 0.590 0.000
Tb1 0.500 0.784 0.432
Tb2 0.500 0.216 0.568


5.
Tb4Ho2Tm3 | GGA-PBE | relaxed

Output
The calculation puts the total energy at -4.47 eV per atom. The calculation puts the formation energy at 0.10 eV per atom.

Lattice parameters (Å, degrees): 6.100 11.139 11.139 62.25 61.59 61.59
Sites, in units of the cell vectors:
Ho1 0.919 0.522 0.239
Ho2 0.419 0.239 0.522
Ho3 0.081 0.478 0.761
Ho4 0.581 0.761 0.478
Tm1 0.750 0.403 0.597
Tm2 0.253 0.930 0.736
Tm3 0.753 0.736 0.930
Tm4 0.747 0.070 0.264
Tm5 0.247 0.264 0.070
Tm6 0.250 0.597 0.403
Tb1 0.080 0.810 0.096
Tb2 0.920 0.190 0.904
Tb3 0.081 0.143 0.430
Tb4 0.420 0.904 0.190
Tb5 0.919 0.857 0.570
Tb6 0.581 0.430 0.143
Tb7 0.419 0.570 0.857
Tb8 0.580 0.096 0.810


6.
TbHo9Tm2 | GGA-PBE | relaxed

Output
The calculation puts the total energy at -4.54 eV per atom. Its energy above the most stable polymorph in this dataset is 0.00 kcal/mol of atoms. The calculation puts the formation energy at 0.02 eV per atom.

Lattice parameters (Å, degrees): 4.970 4.970 14.909 90.00 90.00 90.00
Sites, in units of the cell vectors:
Ho1 0.000 0.500 0.500
Ho2 0.500 0.500 0.000
Ho3 0.000 0.500 0.168
Ho4 0.500 0.000 0.832
Ho5 0.500 0.000 0.500
Ho6 0.500 0.500 0.334
Ho7 0.500 0.500 0.666
Ho8 0.500 0.000 0.168
Ho9 0.000 0.500 0.832
Tm1 0.000 0.000 0.666
Tm2 0.000 0.000 0.334
Tb1 0.000 0.000 0.000


7.
TbHo6Tm2 | GGA-PBE | relaxed

Output
The calculation puts the total energy at -4.16 eV per atom. Its energy above the most stable polymorph in this dataset is 7.50 kcal/mol of atoms. The calculation puts the formation energy at 0.40 eV per atom.

Lattice parameters (Å, degrees): 6.900 6.900 8.430 65.84 65.84 60.00
Sites, in units of the cell vectors:
Ho1 0.054 0.565 0.327
Ho2 0.771 0.279 0.670
Ho3 0.565 0.054 0.327
Ho4 0.279 0.279 0.670
Ho5 0.279 0.771 0.670
Ho6 0.054 0.054 0.327
Tm1 0.582 0.582 0.255
Tm2 0.747 0.747 0.758
Tb1 0.334 0.334 0.997


8.
Tb4Ho2Tm7 | GGA-PBE | relaxed

Output
The calculation puts the total energy at -4.52 eV per atom. The calculation puts the formation energy at 0.02 eV per atom.

Lattice parameters (Å, degrees): 8.595 13.577 7.843 93.34 68.54 147.44
Sites, in units of the cell vectors:
Ho1 0.385 0.770 0.924
Ho2 0.615 0.230 0.076
Tm1 0.847 0.693 0.230
Tm2 0.539 0.077 0.692
Tm3 0.230 0.461 0.153
Tm4 0.153 0.307 0.770
Tm5 0.461 0.923 0.308
Tm6 0.000 0.000 0.000
Tm7 0.770 0.539 0.847
Tb1 0.922 0.845 0.616
Tb2 0.692 0.385 0.462
Tb3 0.308 0.615 0.538
Tb4 0.078 0.155 0.384